First-principles (PBE) data for an optimized crystal structure of BaTl2Mo, as listed in Alexandria via LeMat-Bulk.

a b c (Å): 3.859 3.859 8.122
angles (deg): 90.00 90.00 90.00
Positions (direct):
Ba (0.000, 0.000, 0.000)
Tl (0.000, 0.000, 0.410)
Tl (0.500, 0.500, 0.668)
Mo (0.500, 0.500, 0.320)

Values from the calculation:
E_form   557 meV per atom
E_tot   -3.81 eV/atom
Energy above the lowest structure with this stoichiometry   134.7 meV per atom


First-principles (PBE) data for an optimized crystal structure of Ba2TlMo, as listed in Alexandria via LeMat-Bulk.

a b c (Å): 4.871 6.827 6.827
angles (deg): 43.73 90.00 90.00
Positions (direct):
Ba (0.000, 0.000, 0.000)
Ba (0.500, 0.288, 0.288)
Tl (0.500, 0.584, 0.584)
Mo (0.000, 0.696, 0.696)

Values from the calculation:
E_form   516 meV per atom
E_tot   -3.74 eV/atom
Energy above the lowest structure with this stoichiometry   0.0 meV per atom